Sr3Li2NbO6 | PBE | optimized geometry

symmetry = P-3m1
E_form (uncorrected) = -2422 meV/atom

Cell: 5.7831 5.7831 6.5530 Å, 90.00 90.00 120.00°
Closest atoms and distances in Å follow each position.
Sites, in units of the cell vectors:
Sr 0.0000 0.0000 0.0000  6 O 2.64
Sr 0.3333 0.6667 0.6225  9 O 2.63-2.92, 1 Li 2.79
Sr 0.6667 0.3333 0.3775  9 O 2.63-2.92, 1 Li 2.79
Li 0.3333 0.6667 0.1970  3 O 1.88
Li 0.6667 0.3333 0.8030  3 O 1.88
Nb 0.0000 0.0000 0.5000  6 O 2.03
O 0.1629 0.3257 0.3167  1 Li 1.88, 1 Nb 2.03
O 0.1629 0.8371 0.3167  1 Li 1.88, 1 Nb 2.03
O 0.3257 0.1629 0.6833  1 Li 1.88, 1 Nb 2.03
O 0.6743 0.8371 0.3167  1 Li 1.88, 1 Nb 2.03
O 0.8371 0.1629 0.6833  1 Li 1.88, 1 Nb 2.03
O 0.8371 0.6743 0.6833  1 Li 1.88, 1 Nb 2.03